The following is a DFT calculation (PBEsol) of a relaxed structure of NaTcAs2Se.

a b c (Å): 4.654 4.654 5.492
angles (deg): 90.00 90.00 90.00
Element x y z (fractional)
1 Na 0.000 0.000 0.000
2 Tc 0.500 0.500 0.500
3 As 0.000 0.500 0.500
4 As 0.500 0.000 0.500
5 Se 0.500 0.500 0.000

raw total energy = -26.1 eV per cell
total magnetic moment = 0.003 Bohr magnetons per cell
DOS at the Fermi energy = 1.003 states/eV/atom
energy relative to the elements, uncorrected = 0.120 eV per atom
space group = P4/mmm (123)

=====

The following is a DFT calculation (PBEsol) of a relaxed structure of NaTeAs2Se.

a b c (Å): 5.019 5.019 4.878
angles (deg): 90.00 90.00 90.00
Element x y z (fractional)
1 Na 0.000 0.000 0.000
2 Te 0.500 0.500 0.500
3 As 0.000 0.500 0.000
4 As 0.500 0.000 0.000
5 Se 0.000 0.000 0.500

raw total energy = -14.2 eV per cell
total magnetic moment = 0.001 Bohr magnetons per cell
DOS at the Fermi energy = 1.100 states/eV/atom
energy relative to the elements, uncorrected = 0.952 eV per atom
space group = P4/mmm (123)

=====

The following is a DFT calculation (PBEsol) of a relaxed structure of NaTlAs2Se.

a b c (Å): 5.049 5.049 5.118
angles (deg): 90.00 90.00 90.00
Element x y z (fractional)
1 Na 0.000 0.000 0.000
2 Tl 0.500 0.500 0.500
3 As 0.000 0.500 0.000
4 As 0.500 0.000 0.000
5 Se 0.000 0.000 0.500

raw total energy = -14.5 eV per cell
total magnetic moment = 0.002 Bohr magnetons per cell
DOS at the Fermi energy = 0.909 states/eV/atom
energy relative to the elements, uncorrected = 0.724 eV per atom
space group = P4/mmm (123)